P:
# SrMgTe2I

A relaxed structure of SrMgTe2I (PBE, Alexandria).

The structure in extended XYZ format:
```
5
Lattice="6.230 0.000 0.000 0.000 6.230 0.000 0.000 0.000 6.142" Properties=species:S:1:pos:R:3 pbc="T T T"
Sr 0.000 0.000 0.000
Mg 3.115 3.115 3.071
Te 0.000 3.115 0.000
Te 3.115 0.000 0.000
I 0.000 0.000 3.071
```

* magnetic moment: 0.0 μB/f.u.



Q:
# SrMgTe2I

A relaxed structure of SrMgTe2I (PBE, Alexandria).

The structure in extended XYZ format:
```
5
Lattice="5.505 0.000 0.000 0.000 5.505 0.000 0.000 0.000 5.900" Properties=species:S:1:pos:R:3 pbc="T T T"
Sr 0.000 0.000 0.000
Mg 2.753 2.753 2.950
Te 0.000 2.753 2.950
Te 2.753 0.000 2.950
I 2.753 2.753 0.000
```

* magnetic moment: 0.0 μB/f.u.



Relative energies, in eV/atom, with the most stable structure set to zero: P 0.660; Q 0.000.



P:
# MgTaI3

A relaxed structure of MgTaI3 (PBE, Alexandria).

The structure in extended XYZ format:
```
5
Lattice="5.624 0.000 0.000 0.000 5.624 0.000 0.000 0.000 5.624" Properties=species:S:1:pos:R:3 pbc="T T T"
Mg 0.000 0.000 0.000
Ta 2.812 2.812 2.812
I 0.000 0.000 2.812
I 0.000 2.812 0.000
I 2.812 0.000 0.000
```

* magnetic moment: 3.9 μB/f.u.



Q:
# MgTaI3

A relaxed structure of MgTaI3 (PBE, Alexandria).

The structure in extended XYZ format:
```
5
Lattice="5.582 0.000 0.000 0.000 5.582 0.000 0.000 0.000 5.582" Properties=species:S:1:pos:R:3 pbc="T T T"
Mg 0.000 0.000 0.000
Ta 2.791 2.791 2.791
I 0.000 2.791 2.791
I 2.791 0.000 2.791
I 2.791 2.791 0.000
```

* magnetic moment: 0.0 μB/f.u.



Relative energies, in eV/atom, with the most stable structure set to zero: P 0.420; Q 0.000.



P:
# MgTa2I

A relaxed structure of MgTa2I (PBE, Alexandria).

The structure in extended XYZ format:
```
8
Lattice="-2.030 2.030 10.508 2.030 -2.030 10.508 2.030 2.030 -10.508" Properties=species:S:1:pos:R:3 pbc="T T T"
Mg 0.000 0.000 0.000
Mg 0.000 2.030 5.254
Ta 3.046 0.974 -2.627
Ta 0.974 1.015 2.627
Ta -1.015 1.057 7.881
Ta 1.057 1.015 13.135
I 2.030 0.000 5.254
I 0.000 0.000 10.508
```

* magnetic moment: 0.0 μB/f.u.



Q:
# MgTa2I

A relaxed structure of MgTa2I (PBE, Alexandria).

The structure in extended XYZ format:
```
4
Lattice="0.000 3.407 3.407 3.407 0.000 3.407 3.407 3.407 0.000" Properties=species:S:1:pos:R:3 pbc="T T T"
Mg 0.000 0.000 0.000
Ta 1.703 1.703 1.703
Ta 5.110 5.110 5.110
I 3.407 3.407 3.407
```

* magnetic moment: 0.0 μB/f.u.



Relative energies, in eV/atom, with the most stable structure set to zero: P 0.000; Q 0.234.



P:
# MgTaI2

A relaxed structure of MgTaI2 (PBE, Alexandria).

The structure in extended XYZ format:
```
8
Lattice="-4.947 4.947 2.888 4.947 -4.947 2.888 4.947 4.947 -2.888" Properties=species:S:1:pos:R:3 pbc="T T T"
Mg 0.000 0.000 0.000
Mg 0.000 4.947 1.444
Ta 4.947 0.000 1.444
Ta 0.000 0.000 2.888
I 2.473 -1.034 2.166
I 3.912 2.473 0.722
I 2.473 5.981 -0.722
I 1.034 2.473 3.609
```

* magnetic moment: 1.3 μB/f.u.



Q:
# MgTaI2

A relaxed structure of MgTaI2 (PBE, Alexandria).

The structure in extended XYZ format:
```
4
Lattice="0.000 3.558 3.558 3.558 0.000 3.558 3.558 3.558 0.000" Properties=species:S:1:pos:R:3 pbc="T T T"
Mg 0.000 0.000 0.000
Ta 3.558 3.558 3.558
I 1.779 1.779 1.779
I 5.336 5.336 5.336
```

* magnetic moment: 0.0 μB/f.u.



Relative energies, in eV/atom, with the most stable structure set to zero: P 0.000; Q 0.143.



P:
# MgTaTeI2

A relaxed structure of MgTaTeI2 (PBE, Alexandria).

The structure in extended XYZ format:
```
5
Lattice="5.397 0.000 0.000 0.000 5.397 0.000 0.000 0.000 5.662" Properties=species:S:1:pos:R:3 pbc="T T T"
Mg 0.000 0.000 0.000
Ta 2.699 2.699 2.831
Te 0.000 0.000 2.831
I 0.000 2.699 0.000
I 2.699 0.000 0.000
```

* magnetic moment: 2.9 μB/f.u.



Q:
# MgTaTeI2

A relaxed structure of MgTaTeI2 (PBE, Alexandria).

The structure in extended XYZ format:
```
5
Lattice="5.599 0.000 0.000 0.000 5.599 0.000 0.000 0.000 5.444" Properties=species:S:1:pos:R:3 pbc="T T T"
Mg 0.000 0.000 0.000
Ta 2.799 2.799 2.722
Te 2.799 2.799 0.000
I 0.000 2.799 2.722
I 2.799 0.000 2.722
```

* magnetic moment: 0.0 μB/f.u.



Relative energies, in eV/atom, with the most stable structure set to zero: P 0.573; Q 0.000.



P:
# MgTc2I

A relaxed structure of MgTc2I (PBE, Alexandria).

The structure in extended XYZ format:
```
8
Lattice="-3.848 3.848 2.744 3.848 -3.848 2.744 3.848 3.848 -2.744" Properties=species:S:1:pos:R:3 pbc="T T T"
Mg 0.000 0.000 0.000
Mg 0.000 3.848 1.372
Tc 1.924 2.348 -0.686
Tc 5.348 1.924 0.686
Tc 1.924 1.500 2.058
Tc -1.500 1.924 3.430
I 3.848 0.000 1.372
I 0.000 0.000 2.744
```

* magnetic moment: 0.0 μB/f.u.



Q:
# MgTc2I

A relaxed structure of MgTc2I (PBE, Alexandria).

The structure in extended XYZ format:
```
4
Lattice="0.000 3.207 3.207 3.207 0.000 3.207 3.207 3.207 0.000" Properties=species:S:1:pos:R:3 pbc="T T T"
Mg 0.000 0.000 0.000
Tc 1.604 1.604 1.604
Tc 4.811 4.811 4.811
I 3.207 3.207 3.207
```

* magnetic moment: 0.0 μB/f.u.



Relative energies, in eV/atom, with the most stable structure set to zero: P 0.493; Q 0.000.